(1)
The following is a GGA-PBEsol calculation of an optimized crystal structure of TeIr2Se, from Alexandria via LeMat-Bulk.

Cell: 3.5361 4.3755 4.3755 Å, 90.00 90.00 90.00°
Closest atoms and distances in Å follow each position.
Positions (direct):
Ir: 0.0000 0.0000 0.5000  4 Se 2.81, 4 Te 2.81, 4 Ir 3.09
Ir: 0.0000 0.5000 0.0000  4 Se 2.81, 4 Te 2.81, 4 Ir 3.09
Te: 0.5000 0.0000 0.0000  8 Ir 2.81, 4 Se 3.09
Se: 0.5000 0.5000 0.5000  8 Ir 2.81, 4 Te 3.09

Summary:
density of states at the Fermi level	4.03	states/eV/f.u.
total magnetization	0.00	μB/f.u.
E_form (uncorrected)	0.52	eV per atom

---

(2)
The following is a GGA-PBEsol calculation of an optimized crystal structure of CaCoW2, from Alexandria via LeMat-Bulk.

Cell: 2.7115 2.7115 8.8381 Å, 90.00 90.00 90.00°
Closest atoms and distances in Å follow each position.
Positions (direct):
W: 0.0000 0.0000 0.3015  4 Co 2.60, 4 W 2.71
W: 0.0000 0.0000 0.6985  4 Co 2.60, 4 W 2.71
Co: 0.5000 0.5000 0.5000  8 W 2.60, 4 Co 2.71
Ca: 0.5000 0.5000 0.0000  4 Ca 2.71

Summary:
density of states at the Fermi level	4.68	states/eV/f.u.
E_form	0.633	eV per atom
offset from the most stable computed form	0.0	meV per atom
total magnetization	1.15	μB/f.u.

---

(3)
The following is a GGA-PBEsol calculation of an optimized crystal structure of CeAu3, from Alexandria via LeMat-Bulk.

Cell: 4.7112 6.3238 6.3238 Å, 120.00 90.00 90.00°
Closest atoms and distances in Å follow each position.
Positions (direct):
Au: 0.2500 0.1554 0.3108  6 Au 2.91-2.95, 4 Ce 3.06-3.16
Au: 0.7500 0.8446 0.6892  6 Au 2.91-2.95, 4 Ce 3.06-3.16
Au: 0.7500 0.8446 0.1554  6 Au 2.91-2.95, 4 Ce 3.06-3.16
Au: 0.2500 0.6892 0.8446  6 Au 2.91-2.95, 4 Ce 3.06-3.16
Au: 0.2500 0.1554 0.8446  6 Au 2.91-2.95, 4 Ce 3.06-3.16
Au: 0.7500 0.3108 0.1554  6 Au 2.91-2.95, 4 Ce 3.06-3.16
Ce: 0.2500 0.6667 0.3333  12 Au 3.06-3.16
Ce: 0.7500 0.3333 0.6667  12 Au 3.06-3.16

Summary:
density of states at the Fermi level	5.21	states/eV/f.u.
E_form	-0.530	eV per atom
total magnetization	0.56	μB/f.u.

---

(4)
The following is a GGA-PBEsol calculation of an optimized crystal structure of TlCo2S2, from Alexandria via LeMat-Bulk.

Cell: 3.6519 3.6519 6.8367 Å, 105.49 105.49 90.00°
Closest atoms and distances in Å follow each position.
Positions (direct):
Tl: 0.0000 0.0000 0.0000  8 S 3.25
Co: 0.7500 0.2500 0.5000  4 S 2.18
Co: 0.2500 0.7500 0.5000  4 S 2.18
S: 0.6563 0.6563 0.3126  4 Co 2.18
S: 0.3437 0.3437 0.6874  4 Co 2.18

Summary:
density of states at the Fermi level	2.85	states/eV/f.u.
offset from the most stable computed form	0.0	meV per atom
total magnetization	1.68	μB/f.u.
E_form (uncorrected)	-0.41	eV per atom